Material: CdSnTe2I
Method: DFT, GGA-PBE
State: relaxed

Lattice parameters (Å, degrees): 5.6126 5.6126 5.7931 90.00 90.00 90.00
Closest atoms and distances in Å follow each position.
Space group P4/mmm (No. 123)
Symmetry-distinct sites (fractional):
Cd (0.0000, 0.0000, 0.0000) [1 per cell]  4 Te 2.81, 2 I 2.90
Sn (0.5000, 0.5000, 0.5000) [1 per cell]  4 I 3.97, 8 Te 4.03
Te (0.0000, 0.5000, 0.0000) [2 per cell]  2 Cd 2.81
I (0.0000, 0.0000, 0.5000) [1 per cell]  2 Cd 2.90

Computed properties:
The uncorrected formation energy is 231.4 meV/atom. The value obtained for the calculated density is 5.6 g/cm³. The energy relative to the lowest polymorph listed for this composition comes out at 0 meV per atom. Its size of the total moment is 0.000 μB/atom.

***

Material: Tl2CdSnI6
Method: DFT, GGA-PBE
State: relaxed

Lattice parameters (Å, degrees): 8.3976 8.3976 6.8777 90.00 90.00 90.00
Closest atoms and distances in Å follow each position.
Space group P4mm (No. 99)
Symmetry-distinct sites (fractional):
Tl (0.0000, 0.5000, 0.0000) [2 per cell]  4 I 3.53
Cd (0.0000, 0.0000, 0.5822) [1 per cell]  5 I 2.75-3.01
Sn (0.5000, 0.5000, 0.6155) [1 per cell]  5 I 2.91-3.17
I (0.0000, 0.0000, 0.1825) [1 per cell]  1 Cd 2.75
I (0.2406, 0.2406, 0.7217) [4 per cell]  1 Cd 3.01, 1 Sn 3.17
I (0.5000, 0.5000, 0.1929) [1 per cell]  1 Sn 2.91

Computed properties:
The uncorrected formation energy is -528.4 meV/atom. The value obtained for the calculated density is 4.8 g/cm³. Its size of the total moment is 0.000 μB/atom.

***

Material: Sr3CdI8
Method: DFT, GGA-PBE
State: relaxed

Lattice parameters (Å, degrees): 9.6318 9.6318 14.1322 90.00 90.00 120.00
Closest atoms and distances in Å follow each position.
Space group P6_3mc (No. 186)
Symmetry-distinct sites (fractional):
Sr (0.1689, 0.3378, 0.0000) [6 per cell]  6 I 3.29-3.32
Cd (0.3333, 0.6667, 0.2607) [2 per cell]  6 I 3.00-3.13
I (0.0000, 0.0000, 0.1213) [2 per cell]  3 Sr 3.30
I (0.0328, 0.5164, 0.1436) [6 per cell]  1 Cd 3.00, 2 Sr 3.32
I (0.1789, 0.3579, 0.3868) [6 per cell]  1 Cd 3.13, 2 Sr 3.32
I (0.3333, 0.6667, 0.8715) [2 per cell]  3 Sr 3.29

Computed properties:
The uncorrected formation energy is -1394.5 meV/atom. The value obtained for the calculated density is 4.1 g/cm³. Its size of the total moment is 0.000 μB/atom.

***

Material: Sr2Cd2I
Method: DFT, GGA-PBE
State: relaxed

Lattice parameters (Å, degrees): 6.3715 6.3715 9.9515 90.00 90.00 90.00
Closest atoms and distances in Å follow each position.
Space group I4/mmm (No. 139)
Symmetry-distinct sites (fractional):
Sr (0.0000, 0.5000, 0.2500) [4 per cell]  4 Cd 3.37
Cd (0.0000, 0.0000, 0.1394) [4 per cell]  1 Cd 2.77
I (0.0000, 0.0000, 0.5000) [2 per cell]  2 Cd 3.59

Computed properties:
The uncorrected formation energy is -314.2 meV/atom. The value obtained for the calculated density is 4.3 g/cm³. The energy relative to the lowest polymorph listed for this composition comes out at 221 meV per atom. Its size of the total moment is 0.000 μB/atom.

***

Material: SrCdI2
Method: DFT, GGA-PBE
State: relaxed

Lattice parameters (Å, degrees): 4.5157 4.5157 30.4457 90.00 90.00 120.00
Closest atoms and distances in Å follow each position.
Space group R-3m (No. 166, hexagonal axes)
Symmetry-distinct sites (fractional):
Sr (0.0000, 0.0000, 0.0000) [3 per cell]  2 I 3.20
Cd (0.0000, 0.0000, 0.5000) [3 per cell]  6 I 3.21
I (0.0000, 0.0000, 0.1051) [6 per cell]  1 Sr 3.20, 3 Cd 3.21

Computed properties:
The uncorrected formation energy is -457.2 meV/atom. The value obtained for the calculated density is 4.2 g/cm³. The energy relative to the lowest polymorph listed for this composition comes out at 518 meV per atom. Its size of the total moment is 0.000 μB/atom.

***

Material: Sr2CdI6
Method: DFT, GGA-PBE
State: relaxed

Lattice parameters (Å, degrees): 7.7259 8.3713 13.2789 90.00 120.36 90.00
Closest atoms and distances in Å follow each position.
Space group P2_1/c (No. 14)
Symmetry-distinct sites (fractional):
Sr (0.1764, 0.1061, 0.2309) [4 per cell]  7 I 3.33-3.70
Cd (0.5000, 0.0000, 0.0000) [2 per cell]  6 I 2.95-3.14
I (0.1258, 0.1846, 0.9432) [4 per cell]  1 Cd 3.02, 1 Sr 3.36
I (0.2475, 0.6833, 0.9234) [4 per cell]  1 Cd 3.14, 2 Sr 3.35-3.36
I (0.4127, 0.0490, 0.7587) [4 per cell]  1 Cd 2.95

Computed properties:
The uncorrected formation energy is -1293.3 meV/atom. The value obtained for the calculated density is 4.7 g/cm³. Its size of the total moment is 0.000 μB/atom.

***

Material: SrCdI3
Method: DFT, GGA-PBE
State: relaxed

Lattice parameters (Å, degrees): 5.9390 5.9390 5.9390 90.00 90.00 90.00
Closest atoms and distances in Å follow each position.
Space group Pm-3m (No. 221)
Symmetry-distinct sites (fractional):
Sr (0.0000, 0.0000, 0.0000) [1 per cell]  12 I 4.20
Cd (0.5000, 0.5000, 0.5000) [1 per cell]  6 I 2.97
I (0.0000, 0.5000, 0.5000) [3 per cell]  2 Cd 2.97

Computed properties:
The uncorrected formation energy is -720.7 meV/atom. The value obtained for the calculated density is 4.6 g/cm³. The energy relative to the lowest polymorph listed for this composition comes out at 46 meV per atom. Its size of the total moment is 0.000 μB/atom.

***

Material: SrCd3I
Method: DFT, GGA-PBE
State: relaxed

Lattice parameters (Å, degrees): 6.0605 6.0605 6.0605 90.00 90.00 90.00
Closest atoms and distances in Å follow each position.
Space group Pm-3m (No. 221)
Symmetry-distinct sites (fractional):
Sr (0.0000, 0.0000, 0.0000) [1 per cell]  12 Cd 4.29
Cd (0.0000, 0.5000, 0.5000) [3 per cell]  2 I 3.03
I (0.5000, 0.5000, 0.5000) [1 per cell]  6 Cd 3.03

Computed properties:
The uncorrected formation energy is 309.0 meV/atom. The value obtained for the calculated density is 4.1 g/cm³. The energy relative to the lowest polymorph listed for this composition comes out at 101 meV per atom. Its size of the total moment is 0.000 μB/atom.